DFT (PBE) results for an optimized crystal structure of NdScTl2Te4.

Its crystal system is monoclinic. The calculation puts the uncorrected formation energy at -0.984 eV per atom. As for the final energy: -4.534 eV per atom.

Structure (extended XYZ):
```
8
Lattice="-3.3700 -2.7514 -0.7781 1.1659 -3.3518 6.8027 -5.5107 6.4011 1.2329" Properties=species:S:1:pos:R:3 pbc="T T T"
Nd -1.1021 -3.0516 3.0123
Sc 0.0000 0.0000 0.0000
Tl -4.4404 1.8248 0.2274
Tl -2.1724 1.5247 4.0178
Te -2.5691 -0.7856 1.3533
Te -5.1457 1.0835 5.9042
Te -4.0360 4.2008 2.6262
Te -0.3088 -1.1514 5.4094
```



DFT (PBE) results for an optimized crystal structure of Nd3Tm3ScTe8.

Its crystal system is trigonal. The calculation puts the uncorrected formation energy at -1.340 eV per atom. As for the final energy: -5.286 eV per atom.

Structure (extended XYZ):
```
15
Lattice="-6.8955 -5.0051 1.7728 6.5778 -3.1720 -4.7330 1.1410 1.4734 8.5978" Properties=species:S:1:pos:R:3 pbc="T T T"
Nd 0.0000 0.0000 0.0000
Nd 3.2889 -1.5860 -2.3665
Nd -0.1589 -4.0886 -1.4801
Tm -2.8773 -1.7659 5.1853
Tm 0.4116 -3.3519 2.8188
Tm 3.8594 -0.8493 1.9324
Sc 0.5705 0.7367 4.2989
Te 1.9008 -2.5054 0.3201
Te -1.0776 -4.1984 5.3175
Te -1.5541 -4.9979 1.2069
Te 2.3773 -1.7059 4.4307
Te -4.8294 -3.4182 3.5645
Te 5.6526 -3.2856 2.0731
Te -1.3958 -0.9259 2.6818
Te 2.2190 -5.7779 2.9559
```



DFT (PBE) results for an optimized crystal structure of Nd2TmScTe4.

Its crystal system is monoclinic. The calculation puts the uncorrected formation energy at -1.280 eV per atom. As for the final energy: -5.393 eV per atom.

Structure (extended XYZ):
```
8
Lattice="-1.4624 -0.4630 -4.0095 2.0529 -7.1837 0.0808 -7.2925 0.5142 2.6005" Properties=species:S:1:pos:R:3 pbc="T T T"
Nd -4.3775 0.0256 -0.7045
Nd -2.6198 -3.3347 1.3406
Tm 0.2952 -3.8233 -1.9644
Sc 0.0000 0.0000 0.0000
Te -1.8960 -1.8207 -1.3964
Te -4.8060 -5.3117 0.0682
Te -5.0977 -1.4146 2.0227
Te -0.1418 -5.2549 0.6586
```



DFT (PBE) results for an optimized crystal structure of Nd3Tm2ScTe6.

Its crystal system is monoclinic. The calculation puts the uncorrected formation energy at -1.289 eV per atom. As for the final energy: -5.325 eV per atom.

Structure (extended XYZ):
```
12
Lattice="-0.7450 -3.9814 -1.4870 8.3352 -0.4013 -3.1016 0.7918 -1.4457 9.7341" Properties=species:S:1:pos:R:3 pbc="T T T"
Nd 3.7951 -2.1914 -2.2943
Nd 1.2710 -4.3312 4.6996
Nd 7.1109 -1.4972 0.4459
Tm 5.4799 -4.5586 3.1995
Tm 2.9021 -1.2699 1.9460
Sc -0.3725 -1.9907 -0.7435
Te 7.8627 -2.7060 3.3058
Te 4.5563 -3.3954 0.5479
Te 0.5193 -3.1224 1.8397
Te 1.9480 -0.1087 -0.6849
Te 6.4340 -5.7197 5.8304
Te 3.8256 -2.4330 4.5975
```



DFT (PBE) results for an optimized crystal structure of Nd2Y3ScTe6.

Its crystal system is monoclinic. The calculation puts the uncorrected formation energy at -1.306 eV per atom. As for the final energy: -5.815 eV per atom.

Structure (extended XYZ):
```
12
Lattice="4.3543 0.0000 0.0000 0.0000 8.7895 0.3550 -2.1772 -2.4929 9.2254" Properties=species:S:1:pos:R:3 pbc="T T T"
Nd 2.1772 4.1966 6.3231
Nd 0.0000 2.0999 3.2574
Y 2.1772 4.3947 0.1775
Y 2.1772 -0.1893 6.0257
Y 0.0000 6.4858 3.5547
Sc 2.1772 0.0000 0.0000
Te 0.0000 6.4579 6.6414
Te 2.1772 4.3733 3.1977
Te 2.1772 -0.1613 2.9391
Te 2.1772 -0.3785 9.2231
Te 0.0000 6.6750 0.3574
Te 0.0000 1.9233 6.3828
```



DFT (PBE) results for an optimized crystal structure of NdY2ScTe4.

Its crystal system is monoclinic. The calculation puts the uncorrected formation energy at -1.267 eV per atom. As for the final energy: -5.841 eV per atom.

Structure (extended XYZ):
```
8
Lattice="4.3159 0.0000 0.0000 0.0000 7.6147 0.1788 0.0000 -2.6147 7.0637" Properties=species:S:1:pos:R:3 pbc="T T T"
Nd 2.1579 3.8074 0.0894
Y 2.1579 -1.3073 3.5319
Y 0.0000 2.5000 3.6213
Sc 0.0000 0.0000 0.0000
Te 2.1579 1.1627 1.7623
Te 2.1579 3.8374 5.4803
Te 0.0000 -0.1457 5.3253
Te 0.0000 5.1457 1.9172
```



DFT (PBE) results for an optimized crystal structure of NdY3Sc2Te6.

Its crystal system is monoclinic. The calculation puts the uncorrected formation energy at -1.250 eV per atom. As for the final energy: -5.889 eV per atom.

Structure (extended XYZ):
```
12
Lattice="4.3080 0.0000 0.0000 0.0000 8.6768 0.3612 -2.1540 -2.4461 9.0929" Properties=species:S:1:pos:R:3 pbc="T T T"
Nd 2.1540 0.0000 0.0000
Y 2.1540 4.3384 0.1806
Y 2.1540 -0.2214 6.2949
Y 0.0000 6.4521 3.1592
Sc 2.1540 4.1662 6.3630
Sc 0.0000 2.0645 3.0911
Te 0.0000 6.2340 6.2595
Te 2.1540 4.1682 3.3300
Te 2.1540 -0.0033 3.1946
Te 0.0000 2.2309 0.2223
Te 2.1540 3.9998 9.2318
Te 0.0000 2.0625 6.1241
```



DFT (PBE) results for an optimized crystal structure of Nd14ThSc.

Its crystal system is tetragonal. As for the final energy: -5.000 eV per atom. The formation enthalpy at 0 K comes out at 31 meV/atom.

Structure (extended XYZ):
```
16
Lattice="7.2172 0.9683 0.0000 -0.9683 7.2172 0.0000 0.0000 0.0000 10.3599" Properties=species:S:1:pos:R:3 pbc="T T T"
Nd 2.1005 4.8744 5.1799
Nd 6.1946 1.7490 5.1799
Nd 5.7106 5.3574 0.0000
Nd 5.7096 5.3585 5.1799
Nd 2.5862 1.2647 0.0000
Nd 2.5849 1.2654 5.1799
Nd 3.6669 6.9246 7.8325
Nd 3.6669 6.9246 2.5274
Nd 0.5358 2.8230 7.8325
Nd 0.5358 2.8230 2.5274
Nd 0.0502 6.4397 7.8340
Nd 0.0502 6.4397 2.5258
Nd 4.1516 3.3086 7.8315
Nd 4.1516 3.3086 2.5283
Th 2.1021 4.8732 0.0000
Sc 6.1936 1.7498 0.0000
```